Entry 1:
La2Y5Ho: optimized geometry, PBE.

energy of formation from the pure elements = 1.1 eV/f.u.
excess energy over the best structure of this formula in the dataset = 0.0 meV per atom
density of states at the Fermi level = 1.78 states/eV per atom
final energy = -5.710 eV per atom

Geometry as CIF:
```
data_La2Y5Ho
_chemical_formula_sum 'La8 Y20 Ho4'
_symmetry_space_group_name_H-M 'C m c m'
_symmetry_Int_Tables_number 63
_symmetry_space_group_name_Hall '-C 2c 2'
_cell_length_a 5.686
_cell_length_b 12.030
_cell_length_c 15.897
_cell_angle_alpha 90.00
_cell_angle_beta 90.00
_cell_angle_gamma 90.00
loop_
_atom_site_label
_atom_site_fract_x
_atom_site_fract_y
_atom_site_fract_z
La1 0.000 0.215 0.129
Y1 0.000 0.081 0.592
Y2 0.000 0.383 0.549
Y3 0.000 0.461 0.250
Ho1 0.000 0.264 0.750
```

---

Entry 2:
La7Y2Ho: optimized geometry, PBE.

energy of formation from the pure elements = 1.5 eV/f.u.
excess energy over the best structure of this formula in the dataset = 104.5 meV per atom
density of states at the Fermi level = 1.61 states/eV per atom
final energy = -5.054 eV per atom

Geometry as CIF:
```
data_La7Y2Ho
_chemical_formula_sum 'La14 Y4 Ho2'
_symmetry_space_group_name_H-M 'C m m m'
_symmetry_Int_Tables_number 65
_symmetry_space_group_name_Hall '-C 2 2'
_cell_length_a 6.816
_cell_length_b 29.508
_cell_length_c 3.520
_cell_angle_alpha 90.00
_cell_angle_beta 90.00
_cell_angle_gamma 90.00
loop_
_atom_site_label
_atom_site_fract_x
_atom_site_fract_y
_atom_site_fract_z
La1 0.000 0.000 0.000
La2 0.000 0.309 0.500
La3 0.239 0.400 0.000
Y1 0.000 0.204 0.000
Ho1 0.000 0.500 0.500
```

---

Entry 3:
La4Y9Ho11: optimized geometry, PBE.

energy of formation from the pure elements = 1.1 eV/f.u.
density of states at the Fermi level = 1.40 states/eV per atom
final energy = -5.298 eV per atom

Geometry as CIF:
```
data_La4Y9Ho11
_chemical_formula_sum 'La8 Y18 Ho22'
_symmetry_space_group_name_H-M 'C m m m'
_symmetry_Int_Tables_number 65
_symmetry_space_group_name_Hall '-C 2 2'
_cell_length_a 16.402
_cell_length_b 26.489
_cell_length_c 3.624
_cell_angle_alpha 90.00
_cell_angle_beta 90.00
_cell_angle_gamma 90.00
loop_
_atom_site_label
_atom_site_fract_x
_atom_site_fract_y
_atom_site_fract_z
La1 0.169 0.088 0.000
Y1 0.000 0.000 0.000
Y2 0.107 0.220 0.000
Y3 0.109 0.406 0.000
Ho1 0.000 0.126 0.500
Ho2 0.000 0.313 0.500
Ho3 0.000 0.500 0.500
Ho4 0.210 0.500 0.500
Ho5 0.219 0.314 0.500
```

---

Entry 4:
La2Y5Ho: optimized geometry, PBE.

energy of formation from the pure elements = 1.2 eV/f.u.
excess energy over the best structure of this formula in the dataset = 15.5 meV per atom
density of states at the Fermi level = 1.60 states/eV per atom
final energy = -5.694 eV per atom

Geometry as CIF:
```
data_La2Y5Ho
_chemical_formula_sum 'La8 Y20 Ho4'
_symmetry_space_group_name_H-M 'C 1 2/c 1'
_symmetry_Int_Tables_number 15
_symmetry_space_group_name_Hall '-C 2yc'
_cell_length_a 16.157
_cell_length_b 9.968
_cell_length_c 6.717
_cell_angle_alpha 90.00
_cell_angle_beta 99.66
_cell_angle_gamma 90.00
loop_
_atom_site_label
_atom_site_fract_x
_atom_site_fract_y
_atom_site_fract_z
La1 0.078 0.249 0.116
Y1 0.000 0.431 0.750
Y2 0.102 0.083 0.656
Y3 0.198 0.411 0.532
Ho1 0.250 0.250 0.000
```

---

Entry 5:
La4YHo4: optimized geometry, PBE.

energy of formation from the pure elements = 2.7 eV/f.u.
excess energy over the best structure of this formula in the dataset = 270.6 meV per atom
density of states at the Fermi level = 1.53 states/eV per atom
final energy = -4.643 eV per atom

Geometry as CIF:
```
data_La4YHo4
_chemical_formula_sum 'La8 Y2 Ho8'
_symmetry_space_group_name_H-M 'C 1 m 1'
_symmetry_Int_Tables_number 8
_symmetry_space_group_name_Hall 'C -2y'
_cell_length_a 7.083
_cell_length_b 7.038
_cell_length_c 13.251
_cell_angle_alpha 90.00
_cell_angle_beta 97.55
_cell_angle_gamma 90.00
loop_
_atom_site_label
_atom_site_fract_x
_atom_site_fract_y
_atom_site_fract_z
La1 0.000 0.000 0.000
La2 0.004 0.500 0.023
La3 0.398 0.253 0.587
Y1 0.097 0.500 0.395
Ho1 0.190 0.500 0.777
Ho2 0.197 0.000 0.777
Ho3 0.300 0.250 0.207
```

---

Entry 6:
La11Y9Ho4: optimized geometry, PBE.

energy of formation from the pure elements = 1.5 eV/f.u.
density of states at the Fermi level = 1.50 states/eV per atom
final energy = -5.383 eV per atom

Geometry as CIF:
```
data_La11Y9Ho4
_chemical_formula_sum 'La22 Y18 Ho8'
_symmetry_space_group_name_H-M 'C m m m'
_symmetry_Int_Tables_number 65
_symmetry_space_group_name_Hall '-C 2 2'
_cell_length_a 17.247
_cell_length_b 26.067
_cell_length_c 3.712
_cell_angle_alpha 90.00
_cell_angle_beta 90.00
_cell_angle_gamma 90.00
loop_
_atom_site_label
_atom_site_fract_x
_atom_site_fract_y
_atom_site_fract_z
La1 0.000 0.000 0.000
La2 0.000 0.160 0.000
La3 0.000 0.369 0.000
La4 0.206 0.500 0.000
La5 0.225 0.181 0.000
Y1 0.000 0.500 0.500
Y2 0.101 0.267 0.500
Y3 0.142 0.072 0.500
Ho1 0.157 0.398 0.500
```

---

Entry 7:
La4YHo2: optimized geometry, PBE.

energy of formation from the pure elements = 0.5 eV/f.u.
excess energy over the best structure of this formula in the dataset = 0.0 meV per atom
density of states at the Fermi level = 1.75 states/eV per atom
final energy = -4.977 eV per atom

Geometry as CIF:
```
data_La4YHo2
_chemical_formula_sum 'La32 Y8 Ho16'
_symmetry_space_group_name_H-M 'F d d 2'
_symmetry_Int_Tables_number 43
_symmetry_space_group_name_Hall 'F 2 -2d'
_cell_length_a 12.111
_cell_length_b 24.654
_cell_length_c 6.550
_cell_angle_alpha 90.00
_cell_angle_beta 90.00
_cell_angle_gamma 90.00
loop_
_atom_site_label
_atom_site_fract_x
_atom_site_fract_y
_atom_site_fract_z
La1 0.048 0.072 0.000
La2 0.070 0.144 0.529
Y1 0.000 0.000 0.499
Ho1 0.022 0.217 0.051
```

---

Entry 8:
La2YHo: optimized geometry, PBE.

energy of formation from the pure elements = 0.0 eV/f.u.
excess energy over the best structure of this formula in the dataset = 0.0 meV per atom
density of states at the Fermi level = 1.30 states/eV per atom
final energy = -5.214 eV per atom

Geometry as CIF:
```
data_La2YHo
_chemical_formula_sum 'La6 Y3 Ho3'
_symmetry_space_group_name_H-M 'R -3 m'
_symmetry_Int_Tables_number 166
_symmetry_space_group_name_Hall '-R 3 2"'
_cell_length_a 3.6615
_cell_length_b 3.6615
_cell_length_c 35.1658
_cell_angle_alpha 90.00
_cell_angle_beta 90.00
_cell_angle_gamma 120.00
loop_
_atom_site_label
_atom_site_fract_x
_atom_site_fract_y
_atom_site_fract_z
La1 0.0000 0.0000 0.2493
Y1 0.0000 0.0000 0.0000
Ho1 0.0000 0.0000 0.5000
```

---

Entry 9:
La2Y4Ho: optimized geometry, PBE.

energy of formation from the pure elements = 0.5 eV/f.u.
excess energy over the best structure of this formula in the dataset = 0.0 meV per atom
density of states at the Fermi level = 1.68 states/eV per atom
final energy = -5.688 eV per atom

Geometry as CIF:
```
data_La2Y4Ho
_chemical_formula_sum 'La4 Y8 Ho2'
_symmetry_space_group_name_H-M 'P 1'
_symmetry_Int_Tables_number 1
_symmetry_space_group_name_Hall 'P 1'
_cell_length_a 6.120
_cell_length_b 8.564
_cell_length_c 9.653
_cell_angle_alpha 88.31
_cell_angle_beta 78.61
_cell_angle_gamma 72.30
loop_
_atom_site_label
_atom_site_fract_x
_atom_site_fract_y
_atom_site_fract_z
La1 0.000 0.000 0.000
La2 0.002 0.885 0.347
La3 0.150 0.488 0.490
La4 0.256 0.043 0.632
Y1 0.297 0.144 0.265
Y2 0.359 0.621 0.773
Y3 0.463 0.211 0.906
Y4 0.555 0.768 0.062
Y5 0.587 0.689 0.417
Y6 0.679 0.362 0.193
Y7 0.714 0.262 0.548
Y8 0.802 0.834 0.713
Ho1 0.118 0.548 0.122
Ho2 0.908 0.419 0.844
```

---

Entry 10:
La5Y8Ho: optimized geometry, PBE.

energy of formation from the pure elements = 3.3 eV/f.u.
density of states at the Fermi level = 1.48 states/eV per atom
final energy = -5.547 eV per atom

Geometry as CIF:
```
data_La5Y8Ho
_chemical_formula_sum 'La10 Y16 Ho2'
_symmetry_space_group_name_H-M 'C 1 2 1'
_symmetry_Int_Tables_number 5
_symmetry_space_group_name_Hall 'C 2y'
_cell_length_a 13.747
_cell_length_b 10.217
_cell_length_c 9.729
_cell_angle_alpha 90.00
_cell_angle_beta 134.89
_cell_angle_gamma 90.00
loop_
_atom_site_label
_atom_site_fract_x
_atom_site_fract_y
_atom_site_fract_z
La1 0.000 0.000 0.000
La2 0.109 0.579 0.891
La3 0.218 0.420 0.328
Y1 0.073 0.903 0.746
Y2 0.083 0.245 0.907
Y3 0.174 0.596 0.601
Y4 0.176 0.755 0.258
Ho1 0.000 0.249 0.500
```

---

Entry 11:
LaY6Ho3: optimized geometry, PBE.

energy of formation from the pure elements = 1.4 eV/f.u.
excess energy over the best structure of this formula in the dataset = 0.0 meV per atom
density of states at the Fermi level = 1.28 states/eV per atom
final energy = -5.600 eV per atom

Geometry as CIF:
```
data_LaY6Ho3
_chemical_formula_sum 'La4 Y24 Ho12'
_symmetry_space_group_name_H-M 'C m c 21'
_symmetry_Int_Tables_number 36
_symmetry_space_group_name_Hall 'C 2c -2'
_cell_length_a 10.749
_cell_length_b 19.342
_cell_length_c 6.296
_cell_angle_alpha 90.00
_cell_angle_beta 90.00
_cell_angle_gamma 90.00
loop_
_atom_site_label
_atom_site_fract_x
_atom_site_fract_y
_atom_site_fract_z
La1 0.000 0.211 0.000
Y1 0.000 0.049 0.301
Y2 0.000 0.312 0.567
Y3 0.171 0.457 0.706
Y4 0.225 0.211 0.350
Ho1 0.000 0.386 0.103
Ho2 0.185 0.108 0.759
```

---

Entry 12:
LaY3Ho12: optimized geometry, PBE.

energy of formation from the pure elements = 0.4 eV/f.u.
density of states at the Fermi level = 1.39 states/eV per atom
final energy = -4.927 eV per atom

Geometry as CIF:
```
data_LaY3Ho12
_chemical_formula_sum 'La1 Y3 Ho12'
_symmetry_space_group_name_H-M 'P 4/m m m'
_symmetry_Int_Tables_number 123
_symmetry_space_group_name_Hall '-P 4 2'
_cell_length_a 5.023
_cell_length_b 5.023
_cell_length_c 20.098
_cell_angle_alpha 90.00
_cell_angle_beta 90.00
_cell_angle_gamma 90.00
loop_
_atom_site_label
_atom_site_fract_x
_atom_site_fract_y
_atom_site_fract_z
La1 0.000 0.000 0.000
Y1 0.000 0.000 0.251
Y2 0.000 0.000 0.500
Ho1 0.000 0.500 0.127
Ho2 0.000 0.500 0.376
Ho3 0.500 0.500 0.000
Ho4 0.500 0.500 0.252
Ho5 0.500 0.500 0.500
```